# Cr2HgF8 (PBE+U, relaxed)
# Magnetization = 6.00 μB/f.u.
# Raw total energy = -54.9 eV for the cell shown
data_Cr2HgF8
_chemical_formula_sum 'Cr2 Hg1 F8'
_cell_length_a 4.062
_cell_length_b 6.336
_cell_length_c 6.360
_cell_angle_alpha 70.27
_cell_angle_beta 89.91
_cell_angle_gamma 89.68
_symmetry_space_group_name_H-M 'P -1'
_symmetry_Int_Tables_number 2
loop_
_symmetry_equiv_pos_as_xyz
'x,y,z'
'-x,-y,-z'
loop_
_atom_site_label
_atom_site_type_symbol
_atom_site_fract_x
_atom_site_fract_y
_atom_site_fract_z
Cr1 Cr 0.246 0.119 0.120
Hg1 Hg 0.000 0.500 0.500
F1 F 0.247 0.370 0.852
F2 F 0.250 0.918 0.916
F3 F 0.252 0.847 0.367
F4 F 0.263 0.295 0.301